# ZrSc2Co

An optimized crystal structure of ZrSc2Co (PBE, the Alexandria database).

VASP energy in eV per atom: -6.893
Energy of formation from the pure elements in eV per atom: 0.186
Offset from the most stable computed form in eV/f.u.: 1.60

Geometry as CIF:
```
data_ZrSc2Co
_chemical_formula_sum 'Zr4 Sc8 Co4'
_cell_length_a 6.7349
_cell_length_b 6.7349
_cell_length_c 6.7349
_cell_angle_alpha 90.00
_cell_angle_beta 90.00
_cell_angle_gamma 90.00
_symmetry_space_group_name_H-M 'F m -3 m'
_symmetry_Int_Tables_number 225
_symmetry_space_group_name_Hall '-F 4 2 3'
loop_
_atom_site_label
_atom_site_type_symbol
_atom_site_fract_x
_atom_site_fract_y
_atom_site_fract_z
Zr1 Zr 0.0000 0.0000 0.0000
Sc1 Sc 0.2500 0.2500 0.2500
Co1 Co 0.0000 0.0000 0.5000
```